Density functional theory data (GGA-PBE) for a relaxed structure of FeReSnPd.

The energy relative to the lowest polymorph listed for this composition is 0 meV per atom. The electronic total energy comes out at -113.86 eV per cell.

extended XYZ file:
```
16
Lattice="6.2913 0.0000 0.0000 0.0000 6.2913 0.0000 0.0000 0.0000 6.2913" Properties=species:S:1:pos:R:3 pbc="T T T"
Fe 0.0000 0.0000 0.0000
Fe 0.0000 3.1456 3.1456
Fe 3.1456 0.0000 3.1456
Fe 3.1456 3.1456 0.0000
Re 1.5728 1.5728 1.5728
Re 1.5728 4.7184 4.7184
Re 4.7184 1.5728 4.7184
Re 4.7184 4.7184 1.5728
Sn 1.5728 1.5728 4.7184
Sn 1.5728 4.7184 1.5728
Sn 4.7184 1.5728 1.5728
Sn 4.7184 4.7184 4.7184
Pd 0.0000 0.0000 3.1456
Pd 0.0000 3.1456 0.0000
Pd 3.1456 0.0000 0.0000
Pd 3.1456 3.1456 3.1456
```